# TaPt2

Crystalline TaPt2 at its relaxed geometry (GGA-PBE, Alexandria via LeMat-Bulk).

Structure (POSCAR):
```
TaPt2
1.0
3.424 0.000 0.000
-1.712 2.965 0.000
0.000 0.000 5.522
Ta Pt
1 2
Direct
0.000 0.000 0.000
0.333 0.667 0.306
0.667 0.333 0.694
```

Properties
ΔE_f, eV/f.u.: -0.87

***

# NaSr2Sm

Crystalline NaSr2Sm at its relaxed geometry (GGA-PBE, Alexandria via LeMat-Bulk).

Structure (POSCAR):
```
NaSr2Sm
1.0
3.898 0.000 0.000
0.000 3.898 0.000
0.000 0.000 11.474
Na Sr Sm
1 2 1
Direct
0.000 0.000 0.000
0.500 0.500 0.255
0.500 0.500 0.745
0.000 0.000 0.500
```

Properties
ΔE_f, eV/f.u.: 0.48
Energy relative to the lowest polymorph listed for this composition, meV/atom: 0

***

# NaSn3Pt

Crystalline NaSn3Pt at its relaxed geometry (GGA-PBE, Alexandria via LeMat-Bulk).

Structure (POSCAR):
```
NaSn3Pt
1.0
8.695 0.000 0.000
0.000 4.424 0.000
0.000 0.000 12.863
Na Sn Pt
4 12 4
Direct
0.179 0.250 0.008
0.321 0.750 0.508
0.679 0.250 0.492
0.821 0.750 0.992
0.072 0.250 0.423
0.089 0.750 0.178
0.153 0.750 0.776
0.347 0.250 0.276
0.411 0.250 0.678
0.428 0.750 0.923
0.572 0.250 0.077
0.589 0.750 0.322
0.653 0.750 0.724
0.847 0.250 0.224
0.911 0.250 0.822
0.928 0.750 0.577
0.096 0.250 0.642
0.404 0.750 0.142
0.596 0.250 0.858
0.904 0.750 0.358
```

Properties
ΔE_f, eV/f.u.: -1.61
Energy relative to the lowest polymorph listed for this composition, meV/atom: 0

***

# PPtCI2

Crystalline PPtCI2 at its relaxed geometry (GGA-PBE, Alexandria via LeMat-Bulk).

Structure (POSCAR):
```
PPtCI2
1.0
5.620 0.000 0.000
0.000 5.620 0.000
0.000 0.000 3.822
P Pt C I
1 1 1 2
Direct
0.000 0.000 0.000
0.500 0.500 0.500
0.500 0.500 0.000
0.000 0.500 0.500
0.500 0.000 0.500
```

Properties
Formation energy without anion corrections, eV/atom: 1.13

***

# RbCo3Br

Crystalline RbCo3Br at its relaxed geometry (GGA-PBE, Alexandria via LeMat-Bulk).

Structure (POSCAR):
```
RbCo3Br
1.0
4.605 0.000 0.000
0.000 4.605 0.000
0.000 0.000 4.605
Rb Co Br
1 3 1
Direct
0.000 0.000 0.000
0.000 0.500 0.500
0.500 0.000 0.500
0.500 0.500 0.000
0.500 0.500 0.500
```

Properties
Formation energy without anion corrections, eV/atom: 1.26
Energy relative to the lowest polymorph listed for this composition, meV/atom: 0

***

# MnTe2BrN

Crystalline MnTe2BrN at its relaxed geometry (GGA-PBE, Alexandria via LeMat-Bulk).

Structure (POSCAR):
```
MnTe2BrN
1.0
5.810 0.000 0.000
0.000 5.810 0.000
0.000 0.000 3.699
Mn Te Br N
1 2 1 1
Direct
0.000 0.000 0.000
0.000 0.500 0.500
0.500 0.000 0.500
0.500 0.500 0.500
0.500 0.500 0.000
```

Properties
Formation energy without anion corrections, eV/atom: 1.44
Energy relative to the lowest polymorph listed for this composition, meV/atom: 1177

***

# ZrMn2Re

Crystalline ZrMn2Re at its relaxed geometry (GGA-PBE, Alexandria via LeMat-Bulk).

Structure (POSCAR):
```
ZrMn2Re
1.0
6.980 0.000 0.000
0.000 6.980 0.000
0.000 0.000 5.429
Zr Mn Re
4 8 4
Direct
0.000 0.000 0.000
0.000 0.500 0.250
0.500 0.000 0.750
0.500 0.500 0.500
0.214 0.250 0.625
0.250 0.714 0.875
0.250 0.786 0.375
0.286 0.250 0.125
0.714 0.750 0.125
0.750 0.214 0.375
0.750 0.286 0.875
0.786 0.750 0.625
0.000 0.000 0.500
0.000 0.500 0.750
0.500 0.000 0.250
0.500 0.500 0.000
```

Properties
ΔE_f, eV/f.u.: 1.96
Energy relative to the lowest polymorph listed for this composition, meV/atom: 449

***

# Zr

Crystalline Zr at its relaxed geometry (GGA-PBE, Alexandria via LeMat-Bulk).

Structure (POSCAR):
```
Zr
1.0
11.239 0.000 0.000
0.000 11.239 0.000
0.000 0.000 3.084
Zr
16
Direct
0.092 0.646 0.000
0.097 0.170 0.000
0.146 0.408 0.500
0.170 0.903 0.000
0.330 0.597 0.500
0.354 0.092 0.000
0.403 0.330 0.500
0.408 0.854 0.500
0.592 0.146 0.500
0.597 0.670 0.500
0.646 0.908 0.000
0.670 0.403 0.500
0.830 0.097 0.000
0.854 0.592 0.500
0.903 0.830 0.000
0.908 0.354 0.000
```

Properties
ΔE_f, eV/f.u.: 0.29
Energy relative to the lowest polymorph listed for this composition, meV/atom: 290

***

# Na3Ga

Crystalline Na3Ga at its relaxed geometry (GGA-PBE, Alexandria via LeMat-Bulk).

Structure (POSCAR):
```
Na3Ga
1.0
6.817 0.000 0.000
-3.408 5.904 0.000
0.000 0.000 5.578
Na Ga
6 2
Direct
0.175 0.351 0.250
0.175 0.825 0.250
0.351 0.175 0.750
0.649 0.825 0.250
0.825 0.175 0.750
0.825 0.649 0.750
0.333 0.667 0.750
0.667 0.333 0.250
```

Properties
ΔE_f, eV/f.u.: 0.11

***

# Pr4Sm2YEr2

Crystalline Pr4Sm2YEr2 at its relaxed geometry (GGA-PBE, Alexandria via LeMat-Bulk).

Structure (POSCAR):
```
Pr4Sm2YEr2
1.0
7.732 -2.576 0.000
7.732 2.576 0.000
-2.581 0.000 7.679
Pr Sm Y Er
4 2 1 2
Direct
0.054 0.054 0.331
0.277 0.277 0.670
0.723 0.723 0.330
0.946 0.946 0.669
0.388 0.388 0.330
0.612 0.612 0.670
0.500 0.500 0.000
0.168 0.168 0.000
0.832 0.832 0.000
```

Properties
ΔE_f, eV/f.u.: 0.20

***

# Na2CoTc2

Crystalline Na2CoTc2 at its relaxed geometry (GGA-PBE, Alexandria via LeMat-Bulk).

Structure (POSCAR):
```
Na2CoTc2
1.0
5.994 0.000 0.000
0.000 5.994 0.000
0.000 0.000 5.341
Na Co Tc
4 2 4
Direct
0.180 0.320 0.000
0.320 0.820 0.000
0.680 0.180 0.000
0.820 0.680 0.000
0.000 0.000 0.500
0.500 0.500 0.500
0.135 0.635 0.500
0.365 0.135 0.500
0.635 0.865 0.500
0.865 0.365 0.500
```

Properties
ΔE_f, eV/f.u.: 4.01
Energy relative to the lowest polymorph listed for this composition, meV/atom: 0

***

# AsRh

Crystalline AsRh at its relaxed geometry (GGA-PBE, Alexandria via LeMat-Bulk).

Structure (POSCAR):
```
AsRh
1.0
3.195 0.000 0.000
-1.597 2.767 0.000
0.000 0.000 8.077
As Rh
2 2
Direct
0.333 0.667 0.172
0.667 0.333 0.828
0.333 0.667 0.635
0.667 0.333 0.365
```

Properties
ΔE_f, eV/f.u.: -0.18

***

Copy entry 11 word for word.
# Na2CoTc2

Crystalline Na2CoTc2 at its relaxed geometry (GGA-PBE, Alexandria via LeMat-Bulk).

Structure (POSCAR):
```
Na2CoTc2
1.0
5.994 0.000 0.000
0.000 5.994 0.000
0.000 0.000 5.341
Na Co Tc
4 2 4
Direct
0.180 0.320 0.000
0.320 0.820 0.000
0.680 0.180 0.000
0.820 0.680 0.000
0.000 0.000 0.500
0.500 0.500 0.500
0.135 0.635 0.500
0.365 0.135 0.500
0.635 0.865 0.500
0.865 0.365 0.500
```

Properties
ΔE_f, eV/f.u.: 4.01
Energy relative to the lowest polymorph listed for this composition, meV/atom: 0